VASP calculation (PBE) on a relaxed structure of YReMo2.

```
data_YReMo2
_chemical_formula_sum 'Y1 Re1 Mo2'
_symmetry_space_group_name_H-M 'P 4/m m m'
_symmetry_Int_Tables_number 123
_symmetry_space_group_name_Hall '-P 4 2'
_cell_length_a 3.2001
_cell_length_b 3.2001
_cell_length_c 7.2096
_cell_angle_alpha 90.00
_cell_angle_beta 90.00
_cell_angle_gamma 90.00
loop_
_atom_site_label
_atom_site_fract_x
_atom_site_fract_y
_atom_site_fract_z
Y1 0.0000 0.0000 0.0000
Re1 0.0000 0.0000 0.5000
Mo1 0.5000 0.5000 0.2961
```

Properties
For the final energy, the calculation gives -9.885 eV/atom.

***

VASP calculation (PBE) on a relaxed structure of Y2ReMo.

```
data_Y2ReMo
_chemical_formula_sum 'Y8 Re4 Mo4'
_symmetry_space_group_name_H-M 'I -4 2 d'
_symmetry_Int_Tables_number 122
_symmetry_space_group_name_Hall 'I -4 2bw'
_cell_length_a 7.8619
_cell_length_b 7.8619
_cell_length_c 5.7411
_cell_angle_alpha 90.00
_cell_angle_beta 90.00
_cell_angle_gamma 90.00
loop_
_atom_site_label
_atom_site_fract_x
_atom_site_fract_y
_atom_site_fract_z
Y1 0.2378 0.2500 0.1250
Re1 0.0000 0.0000 0.0000
Mo1 0.0000 0.0000 0.5000
```

Properties
For the final energy, the calculation gives -8.029 eV/atom.

***

VASP calculation (PBE) on a relaxed structure of YReMo2.

```
data_YReMo2
_chemical_formula_sum 'Y2 Re2 Mo4'
_symmetry_space_group_name_H-M 'C m m 2'
_symmetry_Int_Tables_number 35
_cell_length_a 3.2267
_cell_length_b 4.6844
_cell_length_c 9.3586
_cell_angle_alpha 90.00
_cell_angle_beta 90.00
_cell_angle_gamma 90.00
loop_
_symmetry_equiv_pos_as_xyz
'x,y,z'
'-x,-y,z'
'-x,y,z'
'x,-y,z'
'x+1/2,y+1/2,z'
'-x+1/2,-y+1/2,z'
'-x+1/2,y+1/2,z'
'x+1/2,-y+1/2,z'
loop_
_atom_site_label
_atom_site_fract_x
_atom_site_fract_y
_atom_site_fract_z
Y1 0.0000 0.0000 0.0000
Re1 0.0000 0.5000 0.2692
Mo1 0.0000 0.0000 0.4935
Mo2 0.0000 0.5000 0.7208
```

Properties
For the final energy, the calculation gives -9.814 eV/atom.

***

VASP calculation (PBE) on a relaxed structure of YReMo.

```
data_YReMo
_chemical_formula_sum 'Y1 Re1 Mo1'
_symmetry_space_group_name_H-M 'P 3 m 1'
_symmetry_Int_Tables_number 156
_cell_length_a 4.6047
_cell_length_b 4.6047
_cell_length_c 3.0343
_cell_angle_alpha 90.00
_cell_angle_beta 90.00
_cell_angle_gamma 120.00
loop_
_symmetry_equiv_pos_as_xyz
'x,y,z'
'-y,x-y,z'
'-x+y,-x,z'
'-y,-x,z'
'-x+y,y,z'
'x,x-y,z'
loop_
_atom_site_label
_atom_site_fract_x
_atom_site_fract_y
_atom_site_fract_z
Y1 0.0000 0.0000 0.0000
Re1 0.3333 0.6667 0.6171
Mo1 0.6667 0.3333 0.3654
```

Properties
For the final energy, the calculation gives -9.552 eV/atom.

***

How do the records compare in total moment? In the order shown, they have 0.00 0.00 0.00 0.00 μB/cell.